A) Material: Li2AcHg
Method: DFT, GGA-PBE
State: relaxed

Summary:
Total magnetization, μB per formula unit: 0.00

Lattice parameters (Å, degrees): 5.159 5.159 5.159 60.00 60.00 60.00
Fractional coordinates of all 4 atoms:
Hg 0.500 0.500 0.500
Li 0.250 0.250 0.250
Li 0.750 0.750 0.750
Ac 0.000 0.000 0.000

B) Material: Li2AcHg
Method: DFT, GGA-PBE
State: relaxed

Summary:
Total magnetization, μB per formula unit: 0.00

Lattice parameters (Å, degrees): 4.649 4.138 11.489 100.37 90.00 90.00
Fractional coordinates of all 8 atoms:
Ac 0.750 0.109 0.219
Ac 0.250 0.891 0.781
Li 0.250 0.253 0.507
Li 0.750 0.467 0.933
Li 0.750 0.747 0.493
Li 0.250 0.533 0.067
Hg 0.750 0.333 0.666
Hg 0.250 0.667 0.334

Most stable pick: B). Distance to second place: 90 meV per atom.

A) Material: LiAc3Hg2
Method: DFT, GGA-PBE
State: relaxed

Summary:
Total magnetization, μB per formula unit: 0.46

Lattice parameters (Å, degrees): 4.082 4.082 11.996 90.00 90.00 90.00
Last column: magnetic moment on the atom in μB.
Fractional coordinates of all 6 atoms:
Ac 0.000 0.000 0.329  0.03
Ac 0.000 0.000 0.000  0.09
Ac 0.000 0.000 0.671  0.03
Hg 0.500 0.500 0.171  0.01
Hg 0.500 0.500 0.829  0.01
Li 0.500 0.500 0.500  0.00

B) Material: LiAc3Hg2
Method: DFT, GGA-PBE
State: relaxed

Summary:
Total magnetization, μB per formula unit: 0.01

Lattice parameters (Å, degrees): 4.091 5.663 9.023 108.29 90.00 90.00
Fractional coordinates of all 6 atoms:
Ac 0.500 0.170 0.340
Ac 0.500 0.830 0.660
Ac 0.500 0.500 0.000
Hg 0.000 0.342 0.684
Hg 0.000 0.658 0.316
Li 0.000 0.000 0.000

Most stable pick: B). Distance to second place: 17 meV per atom.

A) Material: LiAcHg
Method: DFT, GGA-PBE
State: relaxed

Summary:
Total magnetization, μB per formula unit: 0.00

Lattice parameters (Å, degrees): 5.049 5.049 7.628 90.00 90.00 120.00
Fractional coordinates of all 6 atoms:
Ac 0.000 0.500 0.500
Ac 0.000 0.500 0.000
Hg 0.333 0.167 0.750
Hg 0.667 0.833 0.250
Li 0.333 0.167 0.250
Li 0.667 0.833 0.750

B) Material: LiAcHg
Method: DFT, GGA-PBE
State: relaxed

Summary:
Total magnetization, μB per formula unit: 0.00

Lattice parameters (Å, degrees): 3.838 5.045 5.045 120.00 90.00 90.00
Fractional coordinates of all 3 atoms:
Ac 0.667 0.333 0.667
Li 0.167 0.667 0.333
Hg 0.166 0.000 0.000

Most stable pick: A). Distance to second place: 9 meV per atom.

A) Material: LiAcHg
Method: DFT, GGA-PBE
State: relaxed

Summary:
Total magnetization, μB per formula unit: 0.00

Lattice parameters (Å, degrees): 5.059 8.523 15.503 90.00 90.00 90.00
Fractional coordinates of all 24 atoms:
Li 0.500 0.419 0.661
Li 0.000 0.581 0.839
Li 0.500 0.086 0.899
Li 0.000 0.914 0.399
Li 0.000 0.914 0.601
Li 0.500 0.419 0.339
Li 0.000 0.581 0.161
Li 0.500 0.086 0.101
Ac 0.000 0.293 0.000
Ac 0.000 0.210 0.750
Ac 0.500 0.715 0.000
Ac 0.000 0.210 0.250
Ac 0.500 0.790 0.750
Ac 0.000 0.285 0.500
Ac 0.500 0.790 0.250
Ac 0.500 0.707 0.500
Hg 0.000 0.584 0.644
Hg 0.000 0.917 0.894
Hg 0.000 0.917 0.106
Hg 0.500 0.416 0.144
Hg 0.000 0.584 0.356
Hg 0.500 0.416 0.856
Hg 0.500 0.083 0.606
Hg 0.500 0.083 0.394

B) Material: LiAcHg
Method: DFT, GGA-PBE
State: relaxed

Summary:
Total magnetization, μB per formula unit: 0.00

Lattice parameters (Å, degrees): 3.943 3.943 6.143 108.72 108.72 90.00
Fractional coordinates of all 3 atoms:
Hg 0.644 0.644 0.287
Li 0.252 0.252 0.505
Ac 0.954 0.954 0.908

C) Material: LiAcHg
Method: DFT, GGA-PBE
State: relaxed

Summary:
Total magnetization, μB per formula unit: 0.00

Lattice parameters (Å, degrees): 5.235 5.235 5.235 60.00 60.00 60.00
Fractional coordinates of all 3 atoms:
Ac 0.500 0.500 0.500
Li 0.000 0.000 0.000
Hg 0.250 0.250 0.250

Most stable pick: A). Distance to second place: 91 meV per atom.

A) Material: Li2Ac2Hg3
Method: DFT, GGA-PBE
State: relaxed

Summary:
Total magnetization, μB per formula unit: 0.00

Lattice parameters (Å, degrees): 4.586 6.115 7.899 114.20 90.00 112.02
Fractional coordinates of all 7 atoms:
Li 0.869 0.739 0.784
Li 0.131 0.261 0.216
Ac 0.147 0.294 0.767
Ac 0.853 0.706 0.233
Hg 0.371 0.742 0.562
Hg 0.629 0.258 0.438
Hg 0.500 0.000 0.000

B) Material: Li2Ac2Hg3
Method: DFT, GGA-PBE
State: relaxed

Summary:
Total magnetization, μB per formula unit: 0.00

Lattice parameters (Å, degrees): 4.186 8.702 10.888 90.00 101.08 90.00
Fractional coordinates of all 14 atoms:
Hg 0.781 0.250 0.563
Hg 0.564 0.064 0.129
Hg 0.564 0.436 0.129
Hg 0.219 0.750 0.437
Hg 0.436 0.564 0.871
Hg 0.436 0.936 0.871
Ac 0.160 0.250 0.320
Ac 0.840 0.750 0.680
Ac 0.056 0.750 0.112
Ac 0.944 0.250 0.888
Li 0.689 0.559 0.378
Li 0.689 0.941 0.378
Li 0.311 0.059 0.622
Li 0.311 0.441 0.622

Most stable pick: B). Distance to second place: 30 meV per atom.

A) Material: SrLiAcHg
Method: DFT, GGA-PBE
State: relaxed

Summary:
Total magnetization, μB per formula unit: 0.00

Lattice parameters (Å, degrees): 5.710 5.710 5.710 60.00 60.00 60.00
Fractional coordinates of all 4 atoms:
Sr 0.000 0.000 0.000
Li 0.250 0.250 0.250
Hg 0.750 0.750 0.750
Ac 0.500 0.500 0.500

B) Material: SrLiAcHg
Method: DFT, GGA-PBE
State: relaxed

Summary:
Total magnetization, μB per formula unit: 0.05

Lattice parameters (Å, degrees): 4.075 4.075 8.102 90.00 90.00 90.00
Fractional coordinates of all 4 atoms:
Hg 0.500 0.500 0.609
Sr 0.000 0.000 0.367
Ac 0.000 0.000 0.847
Li 0.500 0.500 0.105

Most stable pick: B). Distance to second place: 18 meV per atom.

A) Material: AcLu2Hg
Method: DFT, GGA-PBE
State: relaxed

Summary:
Total magnetization, μB per formula unit: 0.02

Lattice parameters (Å, degrees): 5.510 5.510 5.510 60.00 60.00 60.00
Fractional coordinates of all 4 atoms:
Lu 0.750 0.750 0.750
Lu 0.250 0.250 0.250
Hg 0.500 0.500 0.500
Ac 0.000 0.000 0.000

B) Material: AcLu2Hg
Method: DFT, GGA-PBE
State: relaxed

Summary:
Total magnetization, μB per formula unit: 0.53

Lattice parameters (Å, degrees): 5.037 4.907 4.907 90.00 90.00 90.00
Last column: magnetic moment on the atom in μB.
Fractional coordinates of all 4 atoms:
Lu 0.000 0.500 0.000  -0.14
Lu 0.000 0.000 0.500  -0.14
Hg 0.500 0.000 0.000  0.00
Ac 0.500 0.500 0.500  -0.07

Most stable pick: B). Distance to second place: 167 meV per atom.

A) Material: AcLuHg
Method: DFT, GGA-PBE
State: relaxed

Summary:
Total magnetization, μB per formula unit: 0.43

Lattice parameters (Å, degrees): 3.804 3.804 7.078 105.59 105.59 90.00
Last column: magnetic moment on the atom in μB.
Fractional coordinates of all 3 atoms:
Lu 0.304 0.304 0.608  0.12
Hg 0.689 0.689 0.379  0.00
Ac 0.006 0.006 0.013  0.08

B) Material: AcLuHg
Method: DFT, GGA-PBE
State: relaxed

Summary:
Total magnetization, μB per formula unit: 0.00

Lattice parameters (Å, degrees): 4.103 5.226 5.226 120.00 90.00 90.00
Fractional coordinates of all 3 atoms:
Hg 0.167 0.333 0.667
Lu 0.167 0.000 0.000
Ac 0.667 0.667 0.333

Most stable pick: A). Distance to second place: 66 meV per atom.

A) Material: AcMg3Hg2
Method: DFT, GGA-PBE
State: relaxed

Summary:
Total magnetization, μB per formula unit: 0.00

Lattice parameters (Å, degrees): 4.667 9.017 8.687 115.20 90.00 105.00
Fractional coordinates of all 12 atoms:
Mg 0.953 0.907 0.618
Mg 0.688 0.376 0.456
Mg 0.402 0.805 0.312
Mg 0.047 0.093 0.382
Mg 0.312 0.624 0.544
Mg 0.598 0.195 0.688
Hg 0.477 0.953 0.820
Hg 0.799 0.599 0.284
Hg 0.201 0.401 0.716
Hg 0.523 0.047 0.180
Ac 0.146 0.292 0.063
Ac 0.854 0.708 0.937

B) Material: AcMg3Hg2
Method: DFT, GGA-PBE
State: relaxed

Summary:
Total magnetization, μB per formula unit: 0.00

Lattice parameters (Å, degrees): 4.774 10.641 10.641 120.00 90.00 90.00
Fractional coordinates of all 18 atoms:
Mg 0.000 0.707 0.707
Mg 0.000 0.000 0.707
Mg 0.000 0.293 0.000
Mg 0.000 0.293 0.293
Mg 0.500 0.500 0.500
Mg 0.500 0.000 0.500
Mg 0.000 0.000 0.293
Mg 0.500 0.500 0.000
Mg 0.000 0.707 0.000
Hg 0.500 0.386 0.193
Hg 0.500 0.193 0.807
Hg 0.500 0.193 0.386
Hg 0.500 0.807 0.193
Hg 0.500 0.614 0.807
Hg 0.500 0.807 0.614
Ac 0.000 0.667 0.333
Ac 0.000 0.333 0.667
Ac 0.500 0.000 0.000

Most stable pick: B). Distance to second place: 7 meV per atom.

A) Material: Ac2MgHg3
Method: DFT, GGA-PBE
State: relaxed

Summary:
Total magnetization, μB per formula unit: 0.00

Lattice parameters (Å, degrees): 6.429 6.429 9.708 103.76 103.76 106.36
Fractional coordinates of all 12 atoms:
Mg 0.666 0.666 0.333
Mg 0.334 0.334 0.667
Ac 0.750 0.250 0.500
Ac 0.239 0.239 0.000
Ac 0.250 0.750 0.500
Ac 0.761 0.761 0.000
Hg 0.344 0.827 0.170
Hg 0.827 0.344 0.170
Hg 0.173 0.656 0.830
Hg 0.656 0.173 0.830
Hg 0.829 0.829 0.659
Hg 0.171 0.171 0.341

B) Material: Ac2MgHg3
Method: DFT, GGA-PBE
State: relaxed

Summary:
Total magnetization, μB per formula unit: 0.00

Lattice parameters (Å, degrees): 5.435 5.435 14.056 90.00 90.00 120.00
Fractional coordinates of all 12 atoms:
Hg 0.000 0.000 0.738
Hg 0.333 0.667 0.905
Hg 0.000 0.000 0.262
Hg 0.667 0.333 0.095
Hg 0.333 0.667 0.422
Hg 0.667 0.333 0.578
Ac 0.000 0.000 0.500
Ac 0.333 0.667 0.190
Ac 0.000 0.000 0.000
Ac 0.667 0.333 0.810
Mg 0.667 0.333 0.344
Mg 0.333 0.667 0.656

Most stable pick: B). Distance to second place: 32 meV per atom.

A) Material: AcMg4Hg2
Method: DFT, GGA-PBE
State: relaxed

Summary:
Total magnetization, μB per formula unit: 0.00

Lattice parameters (Å, degrees): 4.718 8.667 8.667 90.00 90.00 90.00
Fractional coordinates of all 14 atoms:
Mg 0.500 0.410 0.842
Mg 0.000 0.342 0.090
Mg 0.000 0.658 0.910
Mg 0.500 0.842 0.410
Mg 0.000 0.090 0.342
Mg 0.500 0.158 0.590
Mg 0.000 0.910 0.658
Mg 0.500 0.590 0.158
Ac 0.500 0.000 0.000
Ac 0.000 0.500 0.500
Hg 0.500 0.716 0.716
Hg 0.500 0.284 0.284
Hg 0.000 0.216 0.784
Hg 0.000 0.784 0.216

B) Material: AcMg4Hg2
Method: DFT, GGA-PBE
State: relaxed

Summary:
Total magnetization, μB per formula unit: 0.00

Lattice parameters (Å, degrees): 4.519 4.525 9.174 104.28 90.00 90.00
Fractional coordinates of all 7 atoms:
Mg 0.500 0.816 0.632
Mg 0.500 0.184 0.368
Mg 0.000 0.686 0.371
Mg 0.000 0.314 0.629
Hg 0.500 0.416 0.832
Hg 0.500 0.584 0.168
Ac 0.000 0.000 0.000

Most stable pick: A). Distance to second place: 28 meV per atom.